AlReNi after structural relaxation, computed with PBE.

Lattice parameters (Å, degrees): 4.0994 4.0994 4.0994 60.00 60.00 60.00
Last column: nearest neighbours and their distance in Å.
Element x y z (fractional)
Al 0.2500 0.2500 0.2500  4 Re 2.51
Ni 0.7500 0.7500 0.7500  4 Re 2.51
Re 0.0000 0.0000 0.0000  4 Ni 2.51, 4 Al 2.51

Results
ΔE to the lowest computed polymorph, meV per atom: 385
Space group: F-43m

AsAuS6 after structural relaxation, computed with PBE.

Lattice parameters (Å, degrees): 6.1451 6.1451 6.1451 60.00 60.00 60.00
Last column: nearest neighbours and their distance in Å.
Element x y z (fractional)
S 0.2785 0.2785 0.7215  1 As 2.42
S 0.7215 0.2785 0.2785  1 As 2.42
S 0.2785 0.7215 0.2785  1 As 2.42
S 0.7215 0.2785 0.7215  1 As 2.42
S 0.2785 0.7215 0.7215  1 As 2.42
S 0.7215 0.7215 0.2785  1 As 2.42
Au 0.2500 0.2500 0.2500  12 S 3.08
As 0.0000 0.0000 0.0000  6 S 2.42

Results
Space group: F-43m

Ho2ErCo8Ni after structural relaxation, computed with PBE.

Lattice parameters (Å, degrees): 8.6233 8.6233 8.6233 33.02 33.02 33.02
Last column: nearest neighbours and their distance in Å.
Element x y z (fractional)
Ho 0.1393 0.1393 0.1393  9 Co 2.84-3.10, 3 Ni 2.91, 3 Ho 3.13
Ho 0.8607 0.8607 0.8607  9 Co 2.84-3.10, 3 Ni 2.91, 3 Ho 3.13
Co 0.5812 0.5812 0.0804  6 Co 2.43-2.45, 1 Ni 2.53
Co 0.4188 0.4188 0.9196  6 Co 2.43-2.45, 1 Ni 2.53
Co 0.6665 0.6665 0.6665  6 Co 2.43
Co 0.5812 0.0804 0.5812  6 Co 2.43-2.45, 1 Ni 2.53
Co 0.3335 0.3335 0.3335  6 Co 2.43
Co 0.9196 0.4188 0.4188  6 Co 2.43-2.45, 1 Ni 2.53
Co 0.4188 0.9196 0.4188  6 Co 2.43-2.45, 1 Ni 2.53
Co 0.0804 0.5812 0.5812  6 Co 2.43-2.45, 1 Ni 2.53
Er 0.0000 0.0000 0.0000  18 Co 2.83-3.15
Ni 0.5000 0.5000 0.5000  6 Co 2.53

Results
ΔE_f, eV/atom: -0.2143
Space group: R-3m

DFT total energy (eV for the cell shown)
-19.9 -25.4 -78.7